Record 1
Entry from Alexandria: crystalline SmHo2ErTl4 at its relaxed geometry (PBE).

Cell lengths 5.3718, 5.3718, 9.3306 Å; angles 73.27, 73.27, 60.00 degrees
With the nearest neighbours (Å) after each atom.
Positions (direct):
Tl 0.6238 0.6238 0.1287  1 Er 3.27, 4 Ho 3.29-3.35, 3 Sm 3.30
Tl 0.8739 0.8739 0.3784  4 Ho 3.25-3.29, 3 Er 3.28, 1 Sm 3.33
Tl 0.1261 0.1261 0.6216  4 Ho 3.25-3.29, 3 Er 3.28, 1 Sm 3.33
Tl 0.3762 0.3762 0.8713  1 Er 3.27, 4 Ho 3.29-3.35, 3 Sm 3.30
Ho 0.2493 0.2493 0.2520  8 Tl 3.25-3.35
Ho 0.7507 0.7507 0.7480  8 Tl 3.25-3.35
Er 0.5000 0.5000 0.5000  8 Tl 3.27-3.28
Sm 0.0000 0.0000 0.0000  8 Tl 3.30-3.33

## Properties
- Magnetic moment: 0.00 μB per atom
- Fermi-level density of states: 0.837 states/eV/atom
- Energy of formation: -0.333 eV per atom

***

Record 2
Entry from Alexandria: crystalline Sm3Ho6Er2Tl at its relaxed geometry (PBE).

Cell lengths 6.1145, 6.1145, 11.6039 Å; angles 95.07, 95.07, 120.03 degrees
With the nearest neighbours (Å) after each atom.
Positions (direct):
Sm 0.8332 0.1668 0.5000  6 Sm 3.53, 6 Ho 3.54-3.58
Sm 0.5000 0.5000 0.5000  6 Sm 3.53, 6 Ho 3.55-3.56
Sm 0.1668 0.8332 0.5000  6 Sm 3.53, 6 Ho 3.54-3.58
Ho 0.4100 0.0809 0.2443  1 Tl 3.44, 2 Er 3.46-3.47, 6 Ho 3.49-3.55, 3 Sm 3.55-3.58
Ho 0.0809 0.4100 0.2443  1 Tl 3.44, 2 Er 3.46-3.47, 6 Ho 3.49-3.55, 3 Sm 3.55-3.58
Ho 0.9191 0.5900 0.7557  1 Tl 3.44, 2 Er 3.46-3.47, 6 Ho 3.49-3.55, 3 Sm 3.55-3.58
Ho 0.2482 0.2482 0.7543  1 Tl 3.46, 2 Er 3.47, 6 Ho 3.49-3.55, 3 Sm 3.54-3.56
Ho 0.7518 0.7518 0.2457  1 Tl 3.46, 2 Er 3.47, 6 Ho 3.49-3.55, 3 Sm 3.54-3.56
Ho 0.5900 0.9191 0.7557  1 Tl 3.44, 2 Er 3.46-3.47, 6 Ho 3.49-3.55, 3 Sm 3.55-3.58
Tl 0.0000 0.0000 0.0000  6 Ho 3.44-3.46, 6 Er 3.53-3.54
Er 0.6660 0.3340 0.0000  6 Ho 3.46-3.47, 3 Er 3.52-3.54, 3 Tl 3.53-3.54
Er 0.3340 0.6660 0.0000  6 Ho 3.46-3.47, 3 Er 3.52-3.54, 3 Tl 3.53-3.54

## Properties
- Magnetic moment: 0.02 μB per atom
- Fermi-level density of states: 1.398 states/eV/atom
- Energy of formation: -0.009 eV per atom

***

Record 3
Entry from Alexandria: crystalline SmHoEr2Tl4 at its relaxed geometry (PBE).

Cell lengths 5.3664, 5.3664, 9.3215 Å; angles 73.27, 73.27, 60.00 degrees
With the nearest neighbours (Å) after each atom.
Positions (direct):
Tl 0.8740 0.8740 0.3781  4 Er 3.26-3.29, 3 Ho 3.28, 1 Sm 3.32
Tl 0.1260 0.1260 0.6219  4 Er 3.26-3.29, 3 Ho 3.28, 1 Sm 3.32
Tl 0.6239 0.6239 0.1284  1 Ho 3.27, 4 Er 3.28-3.34, 3 Sm 3.30
Tl 0.3761 0.3761 0.8716  1 Ho 3.27, 4 Er 3.28-3.34, 3 Sm 3.30
Ho 0.5000 0.5000 0.5000  8 Tl 3.27-3.28
Sm 0.0000 0.0000 0.0000  8 Tl 3.30-3.32
Er 0.7505 0.7505 0.7485  8 Tl 3.26-3.34
Er 0.2495 0.2495 0.2515  8 Tl 3.26-3.34

## Properties
- Magnetic moment: 0.00 μB per atom
- Fermi-level density of states: 0.830 states/eV/atom
- Energy of formation: -0.330 eV per atom

***

Record 4
Entry from Alexandria: crystalline Sm2HoErTl2 at its relaxed geometry (PBE).

Cell lengths 5.1292, 6.8196, 10.0943 Å; angles 90.00, 90.00, 90.00 degrees
With the nearest neighbours (Å) after each atom.
Positions (direct):
Er 0.5000 0.1823 0.6838  4 Tl 3.16-3.22, 2 Ho 3.51
Er 0.5000 0.6823 0.3162  4 Tl 3.16-3.22, 2 Ho 3.51
Tl 0.5000 0.2180 0.3719  2 Er 3.16-3.22, 4 Ho 3.22-3.50, 3 Sm 3.26-3.52
Tl 0.0000 0.2992 0.8568  2 Er 3.20, 6 Sm 3.24-3.58, 1 Ho 3.39
Tl 0.5000 0.7180 0.6281  2 Er 3.16-3.22, 4 Ho 3.22-3.50, 3 Sm 3.26-3.52
Tl 0.0000 0.7992 0.1432  2 Er 3.20, 6 Sm 3.24-3.58, 1 Ho 3.39
Sm 0.5000 0.0539 0.0411  5 Tl 3.26-3.58, 4 Sm 3.50-3.51
Sm 0.0000 0.8288 0.8128  4 Tl 3.24-3.34, 2 Sm 3.50
Sm 0.0000 0.3288 0.1872  4 Tl 3.24-3.34, 2 Sm 3.50
Sm 0.5000 0.5539 0.9589  5 Tl 3.26-3.58, 4 Sm 3.50-3.51
Ho 0.0000 0.4634 0.5403  5 Tl 3.22-3.50, 2 Ho 3.51, 2 Er 3.51
Ho 0.0000 0.9634 0.4597  5 Tl 3.22-3.50, 2 Ho 3.51, 2 Er 3.51

## Properties
- Magnetic moment: 0.00 μB per atom
- Fermi-level density of states: 1.031 states/eV/atom
- Energy of formation: -0.266 eV per atom

***

Record 5
Entry from Alexandria: crystalline SmHoErTl at its relaxed geometry (PBE).

Cell lengths 5.4804, 5.4804, 5.4804 Å; angles 60.00, 60.00, 60.00 degrees
With the nearest neighbours (Å) after each atom.
Positions (direct):
Sm 0.7500 0.7500 0.7500  4 Tl 3.36, 4 Ho 3.36
Tl 0.0000 0.0000 0.0000  4 Er 3.36, 4 Sm 3.36
Ho 0.5000 0.5000 0.5000  4 Sm 3.36, 4 Er 3.36
Er 0.2500 0.2500 0.2500  4 Ho 3.36, 4 Tl 3.36

## Properties
- Excess energy over the best structure of this formula in the dataset: 147 meV/atom
- Magnetic moment: 0.33 μB per atom
- Fermi-level density of states: 1.299 states/eV/atom
- Energy of formation: -0.031 eV per atom

***

Record 6
Entry from Alexandria: crystalline SmHoErTl at its relaxed geometry (PBE).

Cell lengths 4.8855, 4.8286, 4.8760 Å; angles 90.00, 90.00, 90.00 degrees
With the nearest neighbours (Å) after each atom.
Positions (direct):
Tl 0.0000 0.0000 0.0000  4 Er 3.43, 4 Ho 3.43, 4 Sm 3.45
Sm 0.5000 0.0000 0.5000  4 Ho 3.43, 4 Er 3.43, 4 Tl 3.45
Ho 0.5000 0.5000 0.0000  4 Sm 3.43, 4 Tl 3.43, 4 Er 3.45
Er 0.0000 0.5000 0.5000  4 Tl 3.43, 4 Sm 3.43, 4 Ho 3.45

## Properties
- Excess energy over the best structure of this formula in the dataset: 0 meV/atom
- Magnetic moment: 0.20 μB per atom
- Fermi-level density of states: 1.276 states/eV/atom
- Energy of formation: -0.178 eV per atom

***

Record 7
Entry from Alexandria: crystalline SmHo2ErTm at its relaxed geometry (PBE).

Cell lengths 7.1704, 8.3258, 7.0439 Å; angles 126.23, 90.00, 90.00 degrees
With the nearest neighbours (Å) after each atom.
Positions (direct):
Ho 0.0000 0.6907 0.0000  2 Er 3.14, 1 Ho 3.18, 2 Tm 3.47
Ho 0.0000 0.3093 0.0000  2 Er 3.14, 1 Ho 3.18, 2 Tm 3.47
Ho 0.5000 0.6907 0.0000  2 Er 3.14, 1 Ho 3.18, 2 Tm 3.47
Ho 0.5000 0.3093 0.0000  2 Er 3.14, 1 Ho 3.18, 2 Tm 3.47
Tm 0.2500 0.2787 0.5574  1 Er 3.16, 4 Ho 3.47
Tm 0.7500 0.7213 0.4426  1 Er 3.16, 4 Ho 3.47
Er 0.7500 0.9991 0.9982  1 Sm 3.10, 4 Ho 3.14, 1 Tm 3.16
Er 0.2500 0.0009 0.0018  1 Sm 3.10, 4 Ho 3.14, 1 Tm 3.16
Sm 0.2500 0.7279 0.4557  1 Er 3.10
Sm 0.7500 0.2721 0.5443  1 Er 3.10

## Properties
- Magnetic moment: 0.00 μB per atom
- Fermi-level density of states: 1.353 states/eV/atom
- Energy of formation: 0.397 eV per atom

***

Record 8
Entry from Alexandria: crystalline Sm2Ho6Er3Tm at its relaxed geometry (PBE).

Cell lengths 6.1143, 6.1143, 11.7062 Å; angles 94.98, 94.98, 119.96 degrees
With the nearest neighbours (Å) after each atom.
Positions (direct):
Sm 0.3333 0.6667 0.0000  3 Tm 3.53, 3 Sm 3.53, 6 Ho 3.55
Sm 0.6667 0.3333 0.0000  3 Tm 3.53, 3 Sm 3.53, 6 Ho 3.55
Ho 0.7519 0.7519 0.2522  3 Er 3.51, 6 Ho 3.52-3.54, 1 Tm 3.55, 2 Sm 3.55
Ho 0.0845 0.4171 0.2521  3 Er 3.51, 6 Ho 3.52-3.54, 2 Sm 3.55, 1 Tm 3.55
Ho 0.4171 0.0845 0.2521  3 Er 3.51, 6 Ho 3.52-3.54, 2 Sm 3.55, 1 Tm 3.55
Ho 0.9155 0.5829 0.7479  3 Er 3.51, 6 Ho 3.52-3.54, 2 Sm 3.55, 1 Tm 3.55
Ho 0.2481 0.2481 0.7478  3 Er 3.51, 6 Ho 3.52-3.54, 1 Tm 3.55, 2 Sm 3.55
Ho 0.5829 0.9155 0.7479  3 Er 3.51, 6 Ho 3.52-3.54, 2 Sm 3.55, 1 Tm 3.55
Er 0.8336 0.1664 0.5000  6 Ho 3.51, 6 Er 3.52-3.53
Er 0.5000 0.5000 0.5000  6 Ho 3.51, 6 Er 3.53
Er 0.1664 0.8336 0.5000  6 Ho 3.51, 6 Er 3.52-3.53
Tm 0.0000 0.0000 0.0000  6 Sm 3.53, 6 Ho 3.55

## Properties
- Magnetic moment: 0.00 μB per atom
- Fermi-level density of states: 1.313 states/eV/atom
- Energy of formation: 0.019 eV per atom

***

Question: The highest Fermi-level density of states belongs to which entry?
Answer: Sm3Ho6Er2Tl

***

Copy entry 5 word for word.
Entry from Alexandria: crystalline SmHoErTl at its relaxed geometry (PBE).

Cell lengths 5.4804, 5.4804, 5.4804 Å; angles 60.00, 60.00, 60.00 degrees
With the nearest neighbours (Å) after each atom.
Positions (direct):
Sm 0.7500 0.7500 0.7500  4 Tl 3.36, 4 Ho 3.36
Tl 0.0000 0.0000 0.0000  4 Er 3.36, 4 Sm 3.36
Ho 0.5000 0.5000 0.5000  4 Sm 3.36, 4 Er 3.36
Er 0.2500 0.2500 0.2500  4 Ho 3.36, 4 Tl 3.36

## Properties
- Excess energy over the best structure of this formula in the dataset: 147 meV/atom
- Magnetic moment: 0.33 μB per atom
- Fermi-level density of states: 1.299 states/eV/atom
- Energy of formation: -0.031 eV per atom

***

Question: What is the Fermi-level density of states in the fifth record?
Answer: 1.299 states/eV/atom